[1]
Compound: Pu2Ga3HgPd4
Source: Alexandria via LeMat-Bulk
Functional: PBE-GGA
Structure: relaxed

Cell lengths 4.096, 4.096, 11.760 Å; angles 90.00, 90.00, 90.00 degrees
Atoms (fractional coordinates):
Pu  0.000  0.500  0.249
Pu  0.500  0.000  0.751
Ga  0.000  0.500  0.873
Ga  0.500  0.000  0.127
Ga  0.500  0.500  0.500
Hg  0.000  0.000  0.500
Pd  0.000  0.000  0.000
Pd  0.000  0.500  0.661
Pd  0.500  0.000  0.339
Pd  0.500  0.500  0.000

Calculated values
Symmetry: P-4m2, No. 115
Calculated formation energy in meV/atom: -501



[2]
Compound: PuGaHgPd
Source: Alexandria via LeMat-Bulk
Functional: PBE-GGA
Structure: relaxed

Cell lengths 4.888, 4.888, 4.888 Å; angles 60.00, 60.00, 60.00 degrees
Atoms (fractional coordinates):
Pu  0.000  0.000  0.000
Ga  0.250  0.250  0.250
Hg  0.500  0.500  0.500
Pd  0.750  0.750  0.750

Calculated values
Symmetry: F-43m, No. 216
Calculated formation energy in meV/atom: -241



[3]
Compound: RbGaHg2Pd
Source: Alexandria via LeMat-Bulk
Functional: PBE-GGA
Structure: relaxed

Cell lengths 5.476, 5.476, 4.879 Å; angles 90.00, 90.00, 90.00 degrees
Atoms (fractional coordinates):
Rb  0.000  0.000  0.000
Ga  0.500  0.500  0.000
Hg  0.000  0.500  0.500
Hg  0.500  0.000  0.500
Pd  0.500  0.500  0.500

Calculated values
Symmetry: P4/mmm, No. 123
Calculated formation energy in meV/atom: -234



What is the calculated formation energy in the first record? -501 meV/atom



What did the second record say?
Compound: PuGaHgPd
Source: Alexandria via LeMat-Bulk
Functional: PBE-GGA
Structure: relaxed

Cell lengths 4.888, 4.888, 4.888 Å; angles 60.00, 60.00, 60.00 degrees
Atoms (fractional coordinates):
Pu  0.000  0.000  0.000
Ga  0.250  0.250  0.250
Hg  0.500  0.500  0.500
Pd  0.750  0.750  0.750

Calculated values
Symmetry: F-43m, No. 216
Calculated formation energy in meV/atom: -241



Copy entry 3 word for word.
Compound: RbGaHg2Pd
Source: Alexandria via LeMat-Bulk
Functional: PBE-GGA
Structure: relaxed

Cell lengths 5.476, 5.476, 4.879 Å; angles 90.00, 90.00, 90.00 degrees
Atoms (fractional coordinates):
Rb  0.000  0.000  0.000
Ga  0.500  0.500  0.000
Hg  0.000  0.500  0.500
Hg  0.500  0.000  0.500
Pd  0.500  0.500  0.500

Calculated values
Symmetry: P4/mmm, No. 123
Calculated formation energy in meV/atom: -234